VASP calculation (PBE-GGA) on an optimized crystal structure of SiAg.

Cell: 6.100 6.100 7.094 Å, 63.82 63.82 26.28°
Sites, in units of the cell vectors:
1 Ag 0.629 0.629 0.692
2 Ag 0.322 0.322 0.290
3 Ag 0.370 0.370 0.678
4 Si 0.071 0.071 0.400
5 Si 0.040 0.040 0.068
6 Si 0.736 0.736 0.038

density = 6.5 g/cm³
raw total energy = -3.82 eV/atom
space group = Cm, No. 8